Entry 1:
# PmNd4Bi2 | the Alexandria database | PBE | optimized geometry
# - Magnetization: 0.968 μB/cell
# - E: -4.347 eV per atom
# - E_form: 0.16 eV/atom
# - D(E_F): 1.136 states/eV/atom
data_PmNd4Bi2
_chemical_formula_sum 'Pm1 Nd4 Bi2'
_cell_length_a 9.470
_cell_length_b 9.470
_cell_length_c 9.470
_cell_angle_alpha 146.32
_cell_angle_beta 146.32
_cell_angle_gamma 48.37
_space_group_name_H-M_alt 'P 1'
_space_group_IT_number 1
loop_
_space_group_symop_operation_xyz
'x,y,z'
loop_
_atom_site_label
_atom_site_type_symbol
_atom_site_fract_x
_atom_site_fract_y
_atom_site_fract_z
Pm1 Pm 0.000 0.000 0.000
Nd1 Nd 0.000 0.500 0.500
Nd2 Nd 0.182 0.182 0.000
Nd3 Nd 0.500 0.000 0.500
Nd4 Nd 0.818 0.818 0.000
Bi1 Bi 0.366 0.366 0.000
Bi2 Bi 0.634 0.634 0.000

---

Entry 2:
# Tb4NiSb | the Alexandria database | PBE | optimized geometry
# - Magnetization: 0.000 μB/cell
# - E: -5.098 eV per atom
# - D(E_F): 1.092 states/eV/atom
# - Formation energy without anion corrections: -0.360 eV/atom
# - Energy relative to the lowest polymorph listed for this composition: 0.149 eV/atom
data_Tb4NiSb
_chemical_formula_sum 'Tb8 Ni2 Sb2'
_cell_length_a 7.197
_cell_length_b 7.095
_cell_length_c 6.975
_cell_angle_alpha 90.00
_cell_angle_beta 93.47
_cell_angle_gamma 90.00
_space_group_name_H-M_alt 'P 1'
_space_group_IT_number 1
loop_
_space_group_symop_operation_xyz
'x,y,z'
loop_
_atom_site_label
_atom_site_type_symbol
_atom_site_fract_x
_atom_site_fract_y
_atom_site_fract_z
Tb1 Tb 0.140 0.168 0.185
Tb2 Tb 0.140 0.332 0.685
Tb3 Tb 0.318 0.643 0.124
Tb4 Tb 0.318 0.857 0.624
Tb5 Tb 0.682 0.143 0.376
Tb6 Tb 0.682 0.357 0.876
Tb7 Tb 0.860 0.668 0.315
Tb8 Tb 0.860 0.832 0.815
Ni1 Ni 0.000 0.000 0.500
Ni2 Ni 0.000 0.500 0.000
Sb1 Sb 0.500 0.000 0.000
Sb2 Sb 0.500 0.500 0.500

---

Entry 3:
# SrSn2PbCl8 | the Alexandria database | PBE | optimized geometry
# - Magnetization: 0.000 μB/cell
# - E: -3.749 eV per atom
# - D(E_F): 0.000 states/eV/atom
# - Formation energy without anion corrections: -1.402 eV/atom
data_SrSn2PbCl8
_chemical_formula_sum 'Sr1 Sn2 Pb1 Cl8'
_cell_length_a 6.535
_cell_length_b 6.837
_cell_length_c 8.962
_cell_angle_alpha 89.84
_cell_angle_beta 89.74
_cell_angle_gamma 89.29
_space_group_name_H-M_alt 'P 1'
_space_group_IT_number 1
loop_
_space_group_symop_operation_xyz
'x,y,z'
loop_
_atom_site_label
_atom_site_type_symbol
_atom_site_fract_x
_atom_site_fract_y
_atom_site_fract_z
Sr1 Sr 0.000 0.000 0.000
Sn1 Sn 0.497 0.490 0.749
Sn2 Sn 0.503 0.510 0.251
Pb1 Pb 0.000 0.000 0.500
Cl1 Cl 0.204 0.806 0.750
Cl2 Cl 0.248 0.856 0.249
Cl3 Cl 0.276 0.330 0.535
Cl4 Cl 0.278 0.331 0.969
Cl5 Cl 0.722 0.669 0.031
Cl6 Cl 0.724 0.670 0.465
Cl7 Cl 0.752 0.144 0.751
Cl8 Cl 0.796 0.194 0.250

---

Entry 4:
# Er4Tl2CdAu | the Alexandria database | PBE | optimized geometry
# - Magnetization: 0.000 μB/cell
# - E: -3.849 eV per atom
# - E_form: -0.45 eV/atom
# - D(E_F): 0.737 states/eV/atom
data_Er4Tl2CdAu
_chemical_formula_sum 'Er4 Tl2 Cd1 Au1'
_cell_length_a 9.055
_cell_length_b 9.055
_cell_length_c 9.055
_cell_angle_alpha 33.68
_cell_angle_beta 33.68
_cell_angle_gamma 33.68
_space_group_name_H-M_alt 'P 1'
_space_group_IT_number 1
loop_
_space_group_symop_operation_xyz
'x,y,z'
loop_
_atom_site_label
_atom_site_type_symbol
_atom_site_fract_x
_atom_site_fract_y
_atom_site_fract_z
Er1 Er 0.119 0.119 0.119
Er2 Er 0.370 0.370 0.370
Er3 Er 0.630 0.630 0.630
Er4 Er 0.881 0.881 0.881
Tl1 Tl 0.245 0.245 0.245
Tl2 Tl 0.755 0.755 0.755
Cd1 Cd 0.500 0.500 0.500
Au1 Au 0.000 0.000 0.000

---

Entry 5:
# InNiRhAu | the Alexandria database | PBE | optimized geometry
# - Magnetization: 0.000 μB/cell
# - E: -4.902 eV per atom
# - E_form: -0.11 eV/atom
# - D(E_F): 0.406 states/eV/atom
data_InNiRhAu
_chemical_formula_sum 'In1 Ni1 Rh1 Au1'
_cell_length_a 4.481
_cell_length_b 4.481
_cell_length_c 4.481
_cell_angle_alpha 60.00
_cell_angle_beta 60.00
_cell_angle_gamma 60.00
_space_group_name_H-M_alt 'P 1'
_space_group_IT_number 1
loop_
_space_group_symop_operation_xyz
'x,y,z'
loop_
_atom_site_label
_atom_site_type_symbol
_atom_site_fract_x
_atom_site_fract_y
_atom_site_fract_z
In1 In 0.000 0.000 0.000
Ni1 Ni 0.250 0.250 0.250
Rh1 Rh 0.750 0.750 0.750
Au1 Au 0.500 0.500 0.500

---

Entry 6:
# Pm2HoPuSe4 | the Alexandria database | PBE | optimized geometry
# - Magnetization: 5.848 μB/cell
# - E: -7.043 eV per atom
# - D(E_F): 1.176 states/eV/atom
# - Formation energy without anion corrections: -1.749 eV/atom
data_Pm2HoPuSe4
_chemical_formula_sum 'Pm2 Ho1 Pu1 Se4'
_cell_length_a 7.182
_cell_length_b 4.123
_cell_length_c 7.209
_cell_angle_alpha 90.00
_cell_angle_beta 109.11
_cell_angle_gamma 90.00
_space_group_name_H-M_alt 'P 1'
_space_group_IT_number 1
loop_
_space_group_symop_operation_xyz
'x,y,z'
loop_
_atom_site_label
_atom_site_type_symbol
_atom_site_fract_x
_atom_site_fract_y
_atom_site_fract_z
Pm1 Pm 0.000 0.000 0.000
Pm2 Pm 0.500 0.500 0.000
Ho1 Ho 0.000 0.500 0.500
Pu1 Pu 0.500 0.000 0.500
Se1 Se 0.243 0.000 0.740
Se2 Se 0.249 0.500 0.258
Se3 Se 0.751 0.500 0.742
Se4 Se 0.757 0.000 0.260